--- P ---
Computed, not measured: a relaxed structure of NaSm2Cl6 at the PBE level of DFT.

Cell lengths 13.8958, 13.8958, 3.8296 Å; angles 90.00, 90.00, 120.00 degrees
Space group P3 (No. 143)
Inequivalent atoms, fractional coordinates:
Na (0.0000, 0.0000, 0.0000)
Na (0.3333, 0.6667, 0.4999)
Na (0.6667, 0.3333, 0.0328)
Sm (0.0047, 0.3314, 0.2895)
Sm (0.0060, 0.6695, 0.7894)
Cl (0.0720, 0.8444, 0.2887)
Cl (0.1037, 0.5929, 0.2899)
Cl (0.1794, 0.4399, 0.7887)
Cl (0.2298, 0.0727, 0.7900)
Cl (0.4370, 0.2706, 0.2890)
Cl (0.4993, 0.1032, 0.7909)

Computed properties:
For the density of states at the Fermi level, the calculation gives 6.9 states/eV/cell. The total magnetic moment comes out at 0.00 Bohr magnetons per cell.

--- Q ---
Computed, not measured: a relaxed structure of NaSm2Cl6 at the PBE level of DFT.

Cell lengths 6.674, 6.674, 11.939 Å; angles 90.00, 90.00, 90.00 degrees
Space group P4_2/mnm (No. 136)
Inequivalent atoms, fractional coordinates:
Na (0.000, 0.000, 0.000)
Sm (0.000, 0.000, 0.345)
Cl (0.208, 0.208, 0.174)
Cl (0.213, 0.213, 0.500)

Computed properties:
For the density of states at the Fermi level, the calculation gives 0.4 states/eV/cell. The total magnetic moment comes out at 2.00 Bohr magnetons per cell.

--- R ---
Computed, not measured: a relaxed structure of NaSm2Cl6 at the PBE level of DFT.

Cell lengths 6.8915, 6.8915, 6.5161 Å; angles 90.00, 90.00, 120.00 degrees
Space group P-31m (No. 162)
Inequivalent atoms, fractional coordinates:
Na (0.0000, 0.0000, 0.0000)
Sm (0.3333, 0.6667, 0.5000)
Cl (0.0000, 0.3398, 0.7411)

Computed properties:
For the density of states at the Fermi level, the calculation gives 4.9 states/eV/cell. The total magnetic moment comes out at 0.89 Bohr magnetons per cell.

Which structure is the most stable? The one labeled Q.

--- P ---
Computed, not measured: a relaxed structure of NaSmCl4 at the PBE level of DFT.

Cell lengths 9.193, 9.193, 8.486 Å; angles 90.00, 90.00, 90.00 degrees
Space group I4_1md (No. 109)
Inequivalent atoms, fractional coordinates:
Na (0.000, 0.000, 0.000)
Sm (0.000, 0.000, 0.526)
Cl (0.000, 0.301, 0.997)
Cl (0.000, 0.302, 0.522)

Computed properties:
For the density of states at the Fermi level, the calculation gives 0.0 states/eV/cell. The total magnetic moment comes out at 0.00 Bohr magnetons per cell.

--- Q ---
Computed, not measured: a relaxed structure of NaSmCl4 at the PBE level of DFT.

Cell lengths 17.718, 5.370, 9.403 Å; angles 90.00, 108.57, 90.00 degrees
Space group C2/m (No. 12)
Inequivalent atoms, fractional coordinates:
Na (0.096, 0.000, 0.200)
Sm (0.193, 0.000, 0.789)
Cl (0.069, 0.000, 0.889)
Cl (0.119, 0.000, 0.509)
Cl (0.159, 0.500, 0.222)
Cl (0.220, 0.500, 0.868)

Computed properties:
For the density of states at the Fermi level, the calculation gives 0.0 states/eV/cell. The total magnetic moment comes out at 0.00 Bohr magnetons per cell.

Which structure is the most stable? The one labeled P.

--- P ---
Computed, not measured: a relaxed structure of Na2SnCl at the PBE level of DFT.

Cell lengths 3.352, 3.352, 8.537 Å; angles 90.00, 90.00, 90.00 degrees
Space group P4/mmm (No. 123)
Inequivalent atoms, fractional coordinates:
Na (0.000, 0.000, 0.201)
Sn (0.500, 0.500, 0.500)
Cl (0.500, 0.500, 0.000)

Computed properties:
For the density of states at the Fermi level, the calculation gives 1.0 states/eV/cell. The total magnetic moment comes out at 0.00 Bohr magnetons per cell.

--- Q ---
Computed, not measured: a relaxed structure of Na2SnCl at the PBE level of DFT.

Cell lengths 7.683, 7.683, 7.683 Å; angles 90.00, 90.00, 90.00 degrees
Space group Fm-3m (No. 225)
Inequivalent atoms, fractional coordinates:
Na (0.250, 0.250, 0.250)
Sn (0.000, 0.000, 0.000)
Cl (0.000, 0.000, 0.500)

Computed properties:
For the density of states at the Fermi level, the calculation gives 19.4 states/eV/cell. The total magnetic moment comes out at 5.64 Bohr magnetons per cell.

Which structure is the most stable? The one labeled P.

--- P ---
Computed, not measured: a relaxed structure of Na2SnCl at the PBE level of DFT.

Cell lengths 3.6442, 3.6442, 26.5825 Å; angles 90.00, 90.00, 120.00 degrees
Space group R-3m (No. 166, hexagonal axes)
Inequivalent atoms, fractional coordinates:
Na (0.0000, 0.0000, 0.2333)
Sn (0.0000, 0.0000, 0.0000)
Cl (0.0000, 0.0000, 0.5000)

Computed properties:
For the density of states at the Fermi level, the calculation gives 5.5 states/eV/cell. The total magnetic moment comes out at 0.00 Bohr magnetons per cell.

--- Q ---
Computed, not measured: a relaxed structure of Na2SnCl at the PBE level of DFT.

Cell lengths 7.686, 7.686, 8.180 Å; angles 90.00, 90.00, 90.00 degrees
Space group I-42d (No. 122)
Inequivalent atoms, fractional coordinates:
Na (0.191, 0.750, 0.125)
Sn (0.000, 0.000, 0.500)
Cl (0.000, 0.000, 0.000)

Computed properties:
For the density of states at the Fermi level, the calculation gives 4.4 states/eV/cell. The total magnetic moment comes out at 0.00 Bohr magnetons per cell.

Which structure is the most stable? The one labeled P.

--- P ---
Computed, not measured: a relaxed structure of NaSn2Cl at the PBE level of DFT.

Cell lengths 7.524, 7.524, 7.524 Å; angles 90.00, 90.00, 90.00 degrees
Space group Fm-3m (No. 225)
Inequivalent atoms, fractional coordinates:
Na (0.000, 0.000, 0.000)
Sn (0.250, 0.250, 0.250)
Cl (0.000, 0.000, 0.500)

Computed properties:
For the density of states at the Fermi level, the calculation gives 8.7 states/eV/cell. The total magnetic moment comes out at 0.00 Bohr magnetons per cell.

--- Q ---
Computed, not measured: a relaxed structure of NaSn2Cl at the PBE level of DFT.

Cell lengths 4.117, 4.117, 30.106 Å; angles 90.00, 90.00, 90.00 degrees
Space group I-42d (No. 122)
Inequivalent atoms, fractional coordinates:
Na (0.000, 0.000, 0.000)
Sn (0.247, 0.250, 0.125)
Cl (0.000, 0.000, 0.500)

Computed properties:
For the density of states at the Fermi level, the calculation gives 6.1 states/eV/cell. The total magnetic moment comes out at 0.00 Bohr magnetons per cell.

Which structure is the most stable? The one labeled Q.

--- P ---
Computed, not measured: a relaxed structure of Na3SnCl at the PBE level of DFT.

Cell lengths 5.280, 5.280, 5.280 Å; angles 90.00, 90.00, 90.00 degrees
Space group Pm-3m (No. 221)
Inequivalent atoms, fractional coordinates:
Na (0.000, 0.000, 0.500)
Sn (0.500, 0.500, 0.500)
Cl (0.000, 0.000, 0.000)

Computed properties:
For the density of states at the Fermi level, the calculation gives 2.3 states/eV/cell. The total magnetic moment comes out at 0.00 Bohr magnetons per cell.

--- Q ---
Computed, not measured: a relaxed structure of Na3SnCl at the PBE level of DFT.

Cell lengths 5.970, 5.970, 5.970 Å; angles 90.00, 90.00, 90.00 degrees
Space group Pm-3m (No. 221)
Inequivalent atoms, fractional coordinates:
Na (0.000, 0.000, 0.500)
Sn (0.000, 0.000, 0.000)
Cl (0.500, 0.500, 0.500)

Computed properties:
For the density of states at the Fermi level, the calculation gives 2.6 states/eV/cell. The total magnetic moment comes out at 2.00 Bohr magnetons per cell.

Which structure is the most stable? The one labeled P.

--- P ---
Computed, not measured: a relaxed structure of NaSnCl5 at the PBE level of DFT.

Cell lengths 11.526, 7.766, 9.996 Å; angles 90.00, 114.41, 90.00 degrees
Space group C2/c (No. 15)
Inequivalent atoms, fractional coordinates:
Na (0.000, 0.015, 0.250)
Sn (0.000, 0.500, 0.000)
Cl (0.000, 0.387, 0.250)
Cl (0.082, 0.213, 0.986)
Cl (0.212, 0.394, 0.630)

Computed properties:
For the density of states at the Fermi level, the calculation gives 0.0 states/eV/cell. The total magnetic moment comes out at 0.00 Bohr magnetons per cell.

--- Q ---
Computed, not measured: a relaxed structure of NaSnCl5 at the PBE level of DFT.

Cell lengths 10.309, 12.440, 9.441 Å; angles 90.00, 118.63, 90.00 degrees
Space group C2/c (No. 15)
Inequivalent atoms, fractional coordinates:
Na (0.000, 0.000, 0.000)
Sn (0.000, 0.353, 0.250)
Cl (0.000, 0.080, 0.750)
Cl (0.106, 0.247, 0.131)
Cl (0.181, 0.460, 0.451)

Computed properties:
The total magnetic moment comes out at 0.47 Bohr magnetons per cell.

Which structure is the most stable? The one labeled P.

--- P ---
Computed, not measured: a relaxed structure of NaSrCl at the PBE level of DFT.

Cell lengths 3.880, 3.880, 15.646 Å; angles 90.00, 90.00, 90.00 degrees
Space group I4mm (No. 107)
Inequivalent atoms, fractional coordinates:
Na (0.000, 0.000, 0.000)
Sr (0.000, 0.000, 0.684)
Cl (0.000, 0.000, 0.272)

Computed properties:
For the density of states at the Fermi level, the calculation gives 3.6 states/eV/cell. The total magnetic moment comes out at 0.00 Bohr magnetons per cell.

--- Q ---
Computed, not measured: a relaxed structure of NaSrCl at the PBE level of DFT.

Cell lengths 4.2238, 4.2238, 7.0724 Å; angles 90.00, 90.00, 120.00 degrees
Space group P3m1 (No. 156)
Inequivalent atoms, fractional coordinates:
Na (0.0000, 0.0000, 0.0000)
Sr (0.6667, 0.3333, 0.4303)
Cl (0.3333, 0.6667, 0.6945)

Computed properties:
For the density of states at the Fermi level, the calculation gives 1.5 states/eV/cell. The total magnetic moment comes out at 0.00 Bohr magnetons per cell.

--- R ---
Computed, not measured: a relaxed structure of NaSrCl at the PBE level of DFT.

Cell lengths 4.837, 4.837, 10.095 Å; angles 90.00, 90.00, 90.00 degrees
Space group P4/nmm (No. 129, origin choice 2)
Inequivalent atoms, fractional coordinates:
Na (0.250, 0.250, 0.072)
Sr (0.250, 0.250, 0.672)
Cl (0.250, 0.750, 0.500)

Computed properties:
For the density of states at the Fermi level, the calculation gives 2.4 states/eV/cell. The total magnetic moment comes out at 0.00 Bohr magnetons per cell.

Which structure is the most stable? The one labeled R.